The following is a DFT calculation (PBEsol) of a geometry-optimized Ta3IrBr structure.

CIF file:
```
data_Ta3IrBr
_chemical_formula_sum 'Ta3 Ir1 Br1'
_space_group_name_H-M_alt 'P m -3 m'
_space_group_IT_number 221
_space_group_name_Hall '-P 4 2 3'
_cell_length_a 4.580
_cell_length_b 4.580
_cell_length_c 4.580
_cell_angle_alpha 90.00
_cell_angle_beta 90.00
_cell_angle_gamma 90.00
loop_
_atom_site_label
_atom_site_fract_x
_atom_site_fract_y
_atom_site_fract_z
_atom_site_occupancy
Ta1 0.000 0.000 0.500 1
Ir1 0.500 0.500 0.500 1
Br1 0.000 0.000 0.000 1
```

Results
Fermi-level density of states ... 6.38 states/eV per cell
Formation energy without anion corrections ... 7.91 eV per formula unit